1 | CoAgSbTe2 | GGA-PBE | relaxed

The structure belongs to space group P4/mmm (No. 123); the cell edges are 5.231, 5.231 and 4.700 Å and the angles 90.00°, 90.00° and 90.00°. Symmetry generates all atoms from Co at (0.000, 0.000, 0.000), Ag at (0.500, 0.500, 0.500), Sb at (0.000, 0.000, 0.500) and Te at (0.000, 0.500, 0.000).

The density of states at the Fermi level comes out at 1.0369 states/eV per atom. The spin magnetization is 0.00 μB/cell.

2 | CoAgSbTe2 | GGA-PBE | relaxed

The structure belongs to space group P4/mmm (No. 123); the cell edges are 5.468, 5.468 and 5.215 Å and the angles 90.00°, 90.00° and 90.00°. Symmetry generates all atoms from Co at (0.000, 0.000, 0.000), Ag at (0.500, 0.500, 0.500), Sb at (0.500, 0.500, 0.000) and Te at (0.000, 0.500, 0.500).

The density of states at the Fermi level comes out at 1.5454 states/eV per atom. The spin magnetization is 2.32 μB/cell.

Stability summary: most stable 1, least stable 2.

1 | CoAgSb2Te | GGA-PBE | relaxed

The structure belongs to space group P4/mmm (No. 123); the cell edges are 5.304, 5.304 and 5.451 Å and the angles 90.00°, 90.00° and 90.00°. Symmetry generates all atoms from Co at (0.000, 0.000, 0.000), Ag at (0.500, 0.500, 0.500), Sb at (0.000, 0.500, 0.500) and Te at (0.500, 0.500, 0.000).

The density of states at the Fermi level comes out at 1.1671 states/eV per atom. The spin magnetization is 1.82 μB/cell.

2 | CoAgSb2Te | GGA-PBE | relaxed

The structure belongs to space group P4/mmm (No. 123); the cell edges are 4.781, 4.781 and 5.589 Å and the angles 90.00°, 90.00° and 90.00°. Symmetry generates all atoms from Co at (0.000, 0.000, 0.000), Ag at (0.500, 0.500, 0.500), Sb at (0.000, 0.500, 0.000) and Te at (0.000, 0.000, 0.500).

The density of states at the Fermi level comes out at 0.7619 states/eV per atom. The spin magnetization is 0.00 μB/cell.

Stability summary: most stable 2, least stable 1.

1 | Sc8Co2Ag | GGA-PBE | relaxed

The structure belongs to space group C2/m (No. 12); the cell edges are 7.939, 12.058 and 4.964 Å and the angles 90.00°, 104.13° and 90.00°. Symmetry generates all atoms from Sc at (0.000, 0.246, 0.000), Sc at (0.120, 0.500, 0.808), Sc at (0.198, 0.131, 0.582), Co at (0.000, 0.312, 0.500) and Ag at (0.000, 0.000, 0.000).

The density of states at the Fermi level comes out at 1.2814 states/eV per atom. The spin magnetization is 0.00 μB/cell.

2 | Sc8Co2Ag | GGA-PBE | relaxed

The structure belongs to space group Imm2 (No. 44); the cell edges are 4.817, 14.517 and 6.339 Å and the angles 90.00°, 90.00° and 90.00°. Symmetry generates all atoms from Sc at (0.000, 0.000, 0.000), Sc at (0.000, 0.112, 0.452), Sc at (0.000, 0.288, 0.127), Sc at (0.000, 0.336, 0.593), Sc at (0.000, 0.500, 0.220), Co at (0.000, 0.171, 0.824) and Ag at (0.000, 0.500, 0.797).

The density of states at the Fermi level comes out at 0.8622 states/eV per atom. The spin magnetization is 0.00 μB/cell.

Stability summary: most stable 2, least stable 1.

1 | Sc2CoAg2 | GGA-PBE | relaxed

The structure belongs to space group P4/mbm (No. 127); the cell edges are 6.927, 6.927 and 3.970 Å and the angles 90.00°, 90.00° and 90.00°. Symmetry generates all atoms from Sc at (0.175, 0.325, 0.000), Co at (0.000, 0.000, 0.500) and Ag at (0.137, 0.637, 0.500).

The density of states at the Fermi level comes out at 1.6418 states/eV per atom. The spin magnetization is 0.01 μB/cell.

2 | Sc2CoAg2 | GGA-PBE | relaxed

The structure belongs to space group I4/mmm (No. 139); the cell edges are 3.607, 3.607 and 15.543 Å and the angles 90.00°, 90.00° and 90.00°. Symmetry generates all atoms from Sc at (0.000, 0.000, 0.092), Co at (0.000, 0.000, 0.500) and Ag at (0.000, 0.500, 0.250).

The density of states at the Fermi level comes out at 0.5750 states/eV per atom. The spin magnetization is 1.42 μB/cell.

Stability summary: most stable 1, least stable 2.